Entry 1:
# BeCoSiTc (PBE, relaxed)
# * distance to the lowest polymorph of the same formula: 0 meV/atom
# * magnetization: 0.49 μB/f.u.
data_BeCoSiTc
_chemical_formula_sum 'Be4 Co4 Si4 Tc4'
_space_group_name_H-M_alt 'F -4 3 m'
_space_group_IT_number 216
_space_group_name_Hall 'F -4 2 3'
_cell_length_a 5.607
_cell_length_b 5.607
_cell_length_c 5.607
_cell_angle_alpha 90.00
_cell_angle_beta 90.00
_cell_angle_gamma 90.00
loop_
_atom_site_label
_atom_site_type_symbol
_atom_site_fract_x
_atom_site_fract_y
_atom_site_fract_z
Be1 Be 0.000 0.000 0.000
Co1 Co 0.250 0.250 0.750
Si1 Si 0.000 0.000 0.500
Tc1 Tc 0.250 0.250 0.250


Entry 2:
# BeCoSiTc (PBE, relaxed)
# * distance to the lowest polymorph of the same formula: 375 meV/atom
# * magnetization: 1.58 μB/f.u.
data_BeCoSiTc
_chemical_formula_sum 'Be4 Co4 Si4 Tc4'
_space_group_name_H-M_alt 'F -4 3 m'
_space_group_IT_number 216
_space_group_name_Hall 'F -4 2 3'
_cell_length_a 5.663
_cell_length_b 5.663
_cell_length_c 5.663
_cell_angle_alpha 90.00
_cell_angle_beta 90.00
_cell_angle_gamma 90.00
loop_
_atom_site_label
_atom_site_type_symbol
_atom_site_fract_x
_atom_site_fract_y
_atom_site_fract_z
Be1 Be 0.000 0.000 0.000
Co1 Co 0.000 0.000 0.500
Si1 Si 0.250 0.250 0.250
Tc1 Tc 0.250 0.250 0.750


- Among the records above, which one has the highest distance to the lowest polymorph of the same formula?
  number 2